An optimized crystal structure of Rb2BaSrHf. Source: the Alexandria database, functional PBE.

Values from the calculation:
Space group: P4/mmm
Density of states at the Fermi level, states/eV/f.u.: 4.838
Calculated volume, Å³/atom: 65.4
E_form, meV per atom: 1021

```
data_Rb2BaSrHf
_cell_length_a 6.984
_cell_length_b 6.984
_cell_length_c 6.705
_cell_angle_alpha 90.00
_cell_angle_beta 90.00
_cell_angle_gamma 90.00
_space_group_name_H-M_alt 'P 1'
_space_group_IT_number 1
loop_
_space_group_symop_operation_xyz
'x,y,z'
loop_
_atom_site_label
_atom_site_type_symbol
_atom_site_fract_x
_atom_site_fract_y
_atom_site_fract_z
_atom_site_occupancy
Rb1 Rb 0.000 0.500 0.000 1
Rb2 Rb 0.500 0.000 0.000 1
Ba1 Ba 0.000 0.000 0.500 1
Sr1 Sr 0.500 0.500 0.500 1
Hf1 Hf 0.500 0.500 0.000 1
```